(1)
Compound: Na4Zr2Si3O12
Source: Alexandria
Functional: GGA-PBE
Structure: relaxed

Computed properties:
volume = 13.4 Å³/atom
density of states at the Fermi level = 0.00 states/eV per cell
VASP energy = -7.396 eV/atom

Cell and atoms, written as CIF:
```
data_Na4Zr2Si3O12
_chemical_formula_sum 'Na8 Zr4 Si6 O24'
_symmetry_space_group_name_H-M 'P 1'
_symmetry_Int_Tables_number 1
_cell_length_a 9.198
_cell_length_b 9.198
_cell_length_c 9.198
_cell_angle_alpha 60.91
_cell_angle_beta 60.91
_cell_angle_gamma 60.91
loop_
_symmetry_equiv_pos_as_xyz
'x,y,z'
loop_
_atom_site_label
_atom_site_type_symbol
_atom_site_fract_x
_atom_site_fract_y
_atom_site_fract_z
Na1 Na 0.000 0.000 0.000
Na2 Na 0.118 0.750 0.382
Na3 Na 0.250 0.618 0.882
Na4 Na 0.382 0.118 0.750
Na5 Na 0.500 0.500 0.500
Na6 Na 0.618 0.882 0.250
Na7 Na 0.750 0.382 0.118
Na8 Na 0.882 0.250 0.618
Zr1 Zr 0.147 0.147 0.147
Zr2 Zr 0.353 0.353 0.353
Zr3 Zr 0.647 0.647 0.647
Zr4 Zr 0.853 0.853 0.853
Si1 Si 0.047 0.453 0.750
Si2 Si 0.250 0.953 0.547
Si3 Si 0.453 0.750 0.047
Si4 Si 0.547 0.250 0.953
Si5 Si 0.750 0.047 0.453
Si6 Si 0.953 0.547 0.250
O1 O 0.010 0.623 0.795
O2 O 0.065 0.269 0.917
O3 O 0.083 0.935 0.731
O4 O 0.123 0.510 0.295
O5 O 0.205 0.990 0.377
O6 O 0.231 0.435 0.583
O7 O 0.269 0.917 0.065
O8 O 0.295 0.123 0.510
O9 O 0.377 0.205 0.990
O10 O 0.417 0.769 0.565
O11 O 0.435 0.583 0.231
O12 O 0.490 0.705 0.877
O13 O 0.510 0.295 0.123
O14 O 0.565 0.417 0.769
O15 O 0.583 0.231 0.435
O16 O 0.623 0.795 0.010
O17 O 0.705 0.877 0.490
O18 O 0.731 0.083 0.935
O19 O 0.769 0.565 0.417
O20 O 0.795 0.010 0.623
O21 O 0.877 0.490 0.705
O22 O 0.917 0.065 0.269
O23 O 0.935 0.731 0.083
O24 O 0.990 0.377 0.205
```

=====

(2)
Compound: Rb2LaHgI6
Source: Alexandria
Functional: GGA-PBE
Structure: relaxed

Computed properties:
volume = 51.5 Å³/atom
density of states at the Fermi level = 7.29 states/eV per cell
VASP energy = -2.796 eV/atom

Cell and atoms, written as CIF:
```
data_Rb2LaHgI6
_chemical_formula_sum 'Rb2 La1 Hg1 I6'
_symmetry_space_group_name_H-M 'P 1'
_symmetry_Int_Tables_number 1
_cell_length_a 8.991
_cell_length_b 8.991
_cell_length_c 8.991
_cell_angle_alpha 119.89
_cell_angle_beta 119.89
_cell_angle_gamma 90.19
loop_
_symmetry_equiv_pos_as_xyz
'x,y,z'
loop_
_atom_site_label
_atom_site_type_symbol
_atom_site_fract_x
_atom_site_fract_y
_atom_site_fract_z
Rb1 Rb 0.250 0.750 0.500
Rb2 Rb 0.750 0.250 0.500
La1 La 0.000 0.000 0.000
Hg1 Hg 0.500 0.500 0.000
I1 I 0.247 0.247 0.494
I2 I 0.247 0.753 0.000
I3 I 0.248 0.248 0.000
I4 I 0.752 0.752 0.000
I5 I 0.753 0.247 0.000
I6 I 0.753 0.753 0.506
```

=====

(3)
Compound: DyYGeRu
Source: Alexandria
Functional: GGA-PBE
Structure: relaxed

Computed properties:
volume = 21.2 Å³/atom
density of states at the Fermi level = 9.22 states/eV per cell
excess energy over the best structure of this formula in the dataset = 0.1547 eV per atom
energy of formation = -0.4795 eV/atom

Cell and atoms, written as CIF:
```
data_DyYGeRu
_chemical_formula_sum 'Dy4 Y4 Ge4 Ru4'
_symmetry_space_group_name_H-M 'P 1'
_symmetry_Int_Tables_number 1
_cell_length_a 6.978
_cell_length_b 6.978
_cell_length_c 6.978
_cell_angle_alpha 90.00
_cell_angle_beta 90.00
_cell_angle_gamma 90.00
loop_
_symmetry_equiv_pos_as_xyz
'x,y,z'
loop_
_atom_site_label
_atom_site_type_symbol
_atom_site_fract_x
_atom_site_fract_y
_atom_site_fract_z
Dy1 Dy 0.000 0.000 0.000
Dy2 Dy 0.000 0.500 0.500
Dy3 Dy 0.500 0.000 0.500
Dy4 Dy 0.500 0.500 0.000
Y1 Y 0.000 0.000 0.500
Y2 Y 0.000 0.500 0.000
Y3 Y 0.500 0.000 0.000
Y4 Y 0.500 0.500 0.500
Ge1 Ge 0.250 0.250 0.750
Ge2 Ge 0.250 0.750 0.250
Ge3 Ge 0.750 0.250 0.250
Ge4 Ge 0.750 0.750 0.750
Ru1 Ru 0.250 0.250 0.250
Ru2 Ru 0.250 0.750 0.750
Ru3 Ru 0.750 0.250 0.750
Ru4 Ru 0.750 0.750 0.250
```

=====

(4)
Compound: NpAlSe3
Source: Alexandria
Functional: GGA-PBE
Structure: relaxed

Computed properties:
volume = 32.0 Å³/atom
density of states at the Fermi level = 16.40 states/eV per cell
VASP energy = -6.350 eV/atom

Cell and atoms, written as CIF:
```
data_NpAlSe3
_chemical_formula_sum 'Np2 Al2 Se6'
_symmetry_space_group_name_H-M 'P 1'
_symmetry_Int_Tables_number 1
_cell_length_a 4.036
_cell_length_b 12.226
_cell_length_c 12.226
_cell_angle_alpha 147.95
_cell_angle_beta 90.00
_cell_angle_gamma 90.00
loop_
_symmetry_equiv_pos_as_xyz
'x,y,z'
loop_
_atom_site_label
_atom_site_type_symbol
_atom_site_fract_x
_atom_site_fract_y
_atom_site_fract_z
Np1 Np 0.250 0.173 0.827
Np2 Np 0.750 0.827 0.173
Al1 Al 0.250 0.298 0.546
Al2 Al 0.750 0.546 0.298
Se1 Se 0.250 0.054 0.492
Se2 Se 0.250 0.363 0.206
Se3 Se 0.250 0.656 0.891
Se4 Se 0.750 0.206 0.363
Se5 Se 0.750 0.492 0.054
Se6 Se 0.750 0.891 0.656
```

=====

(5)
Compound: La2MnCdN
Source: Alexandria
Functional: GGA-PBE
Structure: relaxed

Computed properties:
volume = 21.7 Å³/atom
density of states at the Fermi level = 4.83 states/eV per cell
VASP energy = -6.205 eV/atom

Cell and atoms, written as CIF:
```
data_La2MnCdN
_chemical_formula_sum 'La2 Mn1 Cd1 N1'
_symmetry_space_group_name_H-M 'P 1'
_symmetry_Int_Tables_number 1
_cell_length_a 5.396
_cell_length_b 5.396
_cell_length_c 3.720
_cell_angle_alpha 90.00
_cell_angle_beta 90.00
_cell_angle_gamma 90.00
loop_
_symmetry_equiv_pos_as_xyz
'x,y,z'
loop_
_atom_site_label
_atom_site_type_symbol
_atom_site_fract_x
_atom_site_fract_y
_atom_site_fract_z
La1 La 0.000 0.500 0.000
La2 La 0.500 0.000 0.000
Mn1 Mn 0.000 0.000 0.500
Cd1 Cd 0.500 0.500 0.500
N1 N 0.000 0.000 0.000
```

=====

(6)
Compound: Ca2Sn5Rh3
Source: Alexandria
Functional: GGA-PBE
Structure: relaxed

Computed properties:
volume = 21.7 Å³/atom
density of states at the Fermi level = 11.95 states/eV per cell
energy of formation = -0.6028 eV/atom

Cell and atoms, written as CIF:
```
data_Ca2Sn5Rh3
_chemical_formula_sum 'Ca4 Sn10 Rh6'
_symmetry_space_group_name_H-M 'P 1'
_symmetry_Int_Tables_number 1
_cell_length_a 13.572
_cell_length_b 13.572
_cell_length_c 7.214
_cell_angle_alpha 90.00
_cell_angle_beta 90.00
_cell_angle_gamma 160.94
loop_
_symmetry_equiv_pos_as_xyz
'x,y,z'
loop_
_atom_site_label
_atom_site_type_symbol
_atom_site_fract_x
_atom_site_fract_y
_atom_site_fract_z
Ca1 Ca 0.022 0.978 0.500
Ca2 Ca 0.327 0.673 0.475
Ca3 Ca 0.673 0.327 0.975
Ca4 Ca 0.978 0.022 0.000
Sn1 Sn 0.098 0.902 0.131
Sn2 Sn 0.205 0.795 0.685
Sn3 Sn 0.209 0.791 0.259
Sn4 Sn 0.378 0.622 0.000
Sn5 Sn 0.451 0.549 0.331
Sn6 Sn 0.549 0.451 0.831
Sn7 Sn 0.622 0.378 0.500
Sn8 Sn 0.791 0.209 0.759
Sn9 Sn 0.795 0.205 0.185
Sn10 Sn 0.902 0.098 0.631
Rh1 Rh 0.106 0.894 0.755
Rh2 Rh 0.277 0.723 0.970
Rh3 Rh 0.450 0.550 0.716
Rh4 Rh 0.550 0.450 0.216
Rh5 Rh 0.723 0.277 0.470
Rh6 Rh 0.894 0.106 0.255
```

=====

Repeat the fifth record exactly.
Compound: La2MnCdN
Source: Alexandria
Functional: GGA-PBE
Structure: relaxed

Computed properties:
volume = 21.7 Å³/atom
density of states at the Fermi level = 4.83 states/eV per cell
VASP energy = -6.205 eV/atom

Cell and atoms, written as CIF:
```
data_La2MnCdN
_chemical_formula_sum 'La2 Mn1 Cd1 N1'
_symmetry_space_group_name_H-M 'P 1'
_symmetry_Int_Tables_number 1
_cell_length_a 5.396
_cell_length_b 5.396
_cell_length_c 3.720
_cell_angle_alpha 90.00
_cell_angle_beta 90.00
_cell_angle_gamma 90.00
loop_
_symmetry_equiv_pos_as_xyz
'x,y,z'
loop_
_atom_site_label
_atom_site_type_symbol
_atom_site_fract_x
_atom_site_fract_y
_atom_site_fract_z
La1 La 0.000 0.500 0.000
La2 La 0.500 0.000 0.000
Mn1 Mn 0.000 0.000 0.500
Cd1 Cd 0.500 0.500 0.500
N1 N 0.000 0.000 0.000
```

=====

Q: Which of these has the lowest volume?
A: Na4Zr2Si3O12

=====

Q: Which formula does entry 6 have?
A: Ca2Sn5Rh3

=====

What did the sixth record say?
Compound: Ca2Sn5Rh3
Source: Alexandria
Functional: GGA-PBE
Structure: relaxed

Computed properties:
volume = 21.7 Å³/atom
density of states at the Fermi level = 11.95 states/eV per cell
energy of formation = -0.6028 eV/atom

Cell and atoms, written as CIF:
```
data_Ca2Sn5Rh3
_chemical_formula_sum 'Ca4 Sn10 Rh6'
_symmetry_space_group_name_H-M 'P 1'
_symmetry_Int_Tables_number 1
_cell_length_a 13.572
_cell_length_b 13.572
_cell_length_c 7.214
_cell_angle_alpha 90.00
_cell_angle_beta 90.00
_cell_angle_gamma 160.94
loop_
_symmetry_equiv_pos_as_xyz
'x,y,z'
loop_
_atom_site_label
_atom_site_type_symbol
_atom_site_fract_x
_atom_site_fract_y
_atom_site_fract_z
Ca1 Ca 0.022 0.978 0.500
Ca2 Ca 0.327 0.673 0.475
Ca3 Ca 0.673 0.327 0.975
Ca4 Ca 0.978 0.022 0.000
Sn1 Sn 0.098 0.902 0.131
Sn2 Sn 0.205 0.795 0.685
Sn3 Sn 0.209 0.791 0.259
Sn4 Sn 0.378 0.622 0.000
Sn5 Sn 0.451 0.549 0.331
Sn6 Sn 0.549 0.451 0.831
Sn7 Sn 0.622 0.378 0.500
Sn8 Sn 0.791 0.209 0.759
Sn9 Sn 0.795 0.205 0.185
Sn10 Sn 0.902 0.098 0.631
Rh1 Rh 0.106 0.894 0.755
Rh2 Rh 0.277 0.723 0.970
Rh3 Rh 0.450 0.550 0.716
Rh4 Rh 0.550 0.450 0.216
Rh5 Rh 0.723 0.277 0.470
Rh6 Rh 0.894 0.106 0.255
```